A relaxed HgSbH crystal. Source: Alexandria, functional PBE-GGA.

* E: -0.1778 Ry/atom
* relative energy among the computed polymorphs: 10.3 meV per atom

a b c (Å): 4.933 4.936 7.587
angles (deg): 100.55 90.00 119.98
Positions (direct):
H (0.326, 0.653, 0.465)
Sb (0.296, 0.592, 0.232)
Hg (0.959, 0.918, 0.217)
H (0.674, 0.347, 0.535)
Hg (0.041, 0.082, 0.783)
Sb (0.704, 0.408, 0.768)

=====

A relaxed Nd4Th3Se8 crystal. Source: Alexandria, functional PBE-GGA.

* E: -0.4680 Ry/atom
* raw formation energy: -1.753 eV/atom

a b c (Å): 8.401 8.400 8.400
angles (deg): 89.93 120.09 120.09
Positions (direct):
Nd (0.500, 0.000, 0.000)
Se (0.515, 0.258, 0.258)
Se (0.500, 0.250, 0.750)
Se (0.997, 0.744, 0.744)
Nd (0.000, 0.000, 0.500)
Nd (0.000, 0.000, 0.000)
Th (0.500, 0.500, 0.000)
Se (0.485, 0.742, 0.742)
Nd (0.000, 0.500, 0.000)
Se (0.000, 0.256, 0.744)
Th (0.500, 0.500, 0.500)
Th (0.500, 0.000, 0.500)
Se (0.500, 0.750, 0.250)
Se (0.000, 0.744, 0.256)
Se (0.003, 0.256, 0.256)

=====

A relaxed Al2InBr crystal. Source: Alexandria, functional PBE-GGA.

* E: -0.2033 Ry/atom
* relative energy among the computed polymorphs: 185.0 meV per atom
* raw formation energy: 0.209 eV/atom

a b c (Å): 6.106 6.106 6.106
angles (deg): 138.45 138.45 60.21
Positions (direct):
Br (0.500, 0.500, 0.000)
In (0.750, 0.250, 0.500)
Al (0.250, 0.750, 0.500)
Al (0.000, 0.000, 0.000)

=====

A relaxed AlCu2Tc crystal. Source: Alexandria, functional PBE-GGA.

* ΔE_f: -42 meV per atom
* E: -0.4129 Ry/atom

a b c (Å): 2.725 3.379 5.714
angles (deg): 90.00 90.00 90.00
Positions (direct):
Al (0.500, 0.500, 0.763)
Tc (0.000, 0.000, 0.499)
Cu (0.500, 0.500, 0.232)
Cu (0.000, 0.000, 0.006)

=====

A relaxed Zr2SiIr crystal. Source: Alexandria, functional PBE-GGA.

* E: -0.6404 Ry/atom
* raw formation energy: -0.868 eV/atom

a b c (Å): 3.972 3.711 5.402
angles (deg): 69.90 90.00 90.00
Positions (direct):
Zr (0.500, 0.268, 0.338)
Si (0.500, 0.546, 0.784)
Zr (0.000, 0.981, 0.914)
Ir (0.000, 0.706, 0.463)

=====

A relaxed Ti3H3Au crystal. Source: Alexandria, functional PBE-GGA.

* E: -0.4075 Ry/atom
* relative energy among the computed polymorphs: 210.9 meV per atom

a b c (Å): 5.240 5.240 7.512
angles (deg): 69.59 69.59 60.00
Positions (direct):
Au (0.333, 0.333, 0.000)
Ti (0.780, 0.427, 0.692)
H (0.861, 0.523, 0.413)
Ti (0.101, 0.780, 0.692)
Au (0.667, 0.667, 0.000)
Ti (0.220, 0.573, 0.308)
H (0.203, 0.861, 0.413)
H (0.523, 0.203, 0.413)
H (0.797, 0.139, 0.587)
Ti (0.427, 0.101, 0.692)
H (0.477, 0.797, 0.587)
Ti (0.899, 0.220, 0.308)
Ti (0.573, 0.899, 0.308)
H (0.139, 0.477, 0.587)